1.
Crystalline NbCoIO2 at its relaxed geometry, computed with PBE with a Hubbard U.

## Properties
density of states at the Fermi level	4.31	states/eV per cell
space-group type	No. 123

Lattice parameters (Å, degrees): 3.9869 5.8084 3.9869 90.00 90.00 90.00
With the nearest neighbours (Å) after each atom.
Atoms (fractional coordinates):
I  0.0000  0.0000  0.0000  4 O 1.99
Nb  0.0000  0.5000  0.0000  4 Co 2.82, 2 I 2.90
Co  0.5000  0.5000  0.5000  4 Nb 2.82
O  0.0000  0.0000  0.5000  2 I 1.99
O  0.5000  0.0000  0.0000  2 I 1.99

2.
Crystalline NbCoI2O at its relaxed geometry, computed with PBE with a Hubbard U.

## Properties
density of states at the Fermi level	4.35	states/eV per cell
space-group type	No. 123

Lattice parameters (Å, degrees): 5.5218 5.5218 3.5574 90.00 90.00 90.00
With the nearest neighbours (Å) after each atom.
Atoms (fractional coordinates):
I  0.0000  0.5000  0.0000  2 Co 2.76
I  0.5000  0.0000  0.0000  2 Co 2.76
Nb  0.5000  0.5000  0.5000  8 I 3.28, 2 Nb 3.56
Co  0.0000  0.0000  0.0000  2 O 1.78
O  0.0000  0.0000  0.5000  2 Co 1.78

3.
Crystalline NbCoI2O at its relaxed geometry, computed with PBE with a Hubbard U.

## Properties
density of states at the Fermi level	6.56	states/eV per cell
space-group type	No. 123

Lattice parameters (Å, degrees): 5.7890 5.7890 3.9166 90.00 90.00 90.00
With the nearest neighbours (Å) after each atom.
Atoms (fractional coordinates):
I  0.0000  0.5000  0.0000  2 Nb 2.89
I  0.5000  0.0000  0.0000  2 Nb 2.89
Nb  0.0000  0.0000  0.0000  2 O 1.96
Co  0.5000  0.5000  0.5000  8 I 3.49
O  0.0000  0.0000  0.5000  2 Nb 1.96

4.
Crystalline NbCoIO2 at its relaxed geometry, computed with PBE with a Hubbard U.

## Properties
density of states at the Fermi level	4.26	states/eV per cell
space-group type	No. 123

Lattice parameters (Å, degrees): 3.9368 3.9368 4.8528 90.00 90.00 90.00
With the nearest neighbours (Å) after each atom.
Atoms (fractional coordinates):
I  0.0000  0.0000  0.5000  2 Co 2.43
Nb  0.5000  0.5000  0.5000  4 I 2.78
Co  0.0000  0.0000  0.0000  4 O 1.97
O  0.0000  0.5000  0.0000  2 Co 1.97
O  0.5000  0.0000  0.0000  2 Co 1.97

5.
Crystalline NbCoIO2 at its relaxed geometry, computed with PBE with a Hubbard U.

## Properties
density of states at the Fermi level	1.82	states/eV per cell
space-group type	No. 123

Lattice parameters (Å, degrees): 3.9436 3.9436 6.1936 90.00 90.00 90.00
With the nearest neighbours (Å) after each atom.
Atoms (fractional coordinates):
I  0.0000  0.0000  0.5000  4 Co 2.79, 2 Nb 3.10
Nb  0.0000  0.0000  0.0000  4 O 1.97
Co  0.5000  0.5000  0.5000  4 I 2.79
O  0.0000  0.5000  0.0000  2 Nb 1.97
O  0.5000  0.0000  0.0000  2 Nb 1.97

Number 1: calculated density 5.59 g/cm³, VASP energy -4.460 eV/atom. Number 2: calculated density 6.46 g/cm³, VASP energy -4.368 eV/atom. Number 3: calculated density 5.33 g/cm³, VASP energy -4.776 eV/atom. Number 4: calculated density 6.86 g/cm³, VASP energy -4.908 eV/atom. Number 5: calculated density 5.36 g/cm³, VASP energy -6.302 eV/atom.